1.
Computed, not measured: a relaxed CaEr3 crystal at the PBE-GGA level of DFT.

Cell: 3.5996 5.7262 6.3253 Å, 90.00 90.00 90.00°
Site moments in Bohr magnetons follow the coordinates.
Element x y z (fractional)
Ca  0.0000  0.5000  0.3313  0.03
Er  0.0000  0.0000  0.9922  0.15
Er  0.5000  0.0000  0.5113  0.17
Er  0.5000  0.5000  0.8318  0.12

## Properties
- SG: Pmm2 (25)
- Energy: -15.27 eV per cell
- Density of states at the Fermi level: 1.747 states/eV per atom
- ΔE_f: 0.10 eV/atom



2.
Computed, not measured: a relaxed CaEu2Er crystal at the PBE-GGA level of DFT.

Cell: 3.7545 3.7545 12.6970 Å, 81.50 81.50 60.00°
Site moments in Bohr magnetons follow the coordinates.
Element x y z (fractional)
Eu  0.7460  0.7460  0.7620  -7.00
Eu  0.2540  0.2540  0.2380  -7.00
Ca  0.5000  0.5000  0.5000  -0.01
Er  0.0000  0.0000  0.0000  -0.25

## Properties
- SG: R-3m (166)
- Energy: -26.83 eV per cell
- Density of states at the Fermi level: 1.071 states/eV per atom
- Relative energy among the computed polymorphs: 0.0 kJ per mole of atoms
- ΔE_f: 0.07 eV/atom



3.
Computed, not measured: a relaxed CaEuEr2 crystal at the PBE-GGA level of DFT.

Cell: 3.5697 3.5697 12.9321 Å, 82.07 82.07 60.00°
Site moments in Bohr magnetons follow the coordinates.
Element x y z (fractional)
Eu  0.5000  0.5000  0.5000  7.01
Ca  0.0000  0.0000  0.0000  0.01
Er  0.0881  0.0881  0.7356  0.18
Er  0.9119  0.9119  0.2644  0.18

## Properties
- SG: R-3m (166)
- Energy: -20.43 eV per cell
- Density of states at the Fermi level: 1.382 states/eV per atom
- Relative energy among the computed polymorphs: 7.9 kJ per mole of atoms
- ΔE_f: 0.24 eV/atom



4.
Computed, not measured: a relaxed CaEuEr2 crystal at the PBE-GGA level of DFT.

Cell: 4.0749 5.8332 5.8332 Å, 90.00 90.00 90.00°
Site moments in Bohr magnetons follow the coordinates.
Element x y z (fractional)
Eu  0.5000  0.0000  0.0000  6.86
Ca  0.5000  0.5000  0.5000  0.00
Er  0.0000  0.0000  0.5000  0.13
Er  0.0000  0.5000  0.0000  0.13

## Properties
- SG: P4/mmm (123)
- Energy: -20.62 eV per cell
- Density of states at the Fermi level: 1.482 states/eV per atom
- Relative energy among the computed polymorphs: 3.3 kJ per mole of atoms
- ΔE_f: 0.19 eV/atom



5.
Computed, not measured: a relaxed CaEu2Er crystal at the PBE-GGA level of DFT.

Cell: 5.9854 5.9854 5.9854 Å, 60.00 60.00 60.00°
Site moments in Bohr magnetons follow the coordinates.
Element x y z (fractional)
Eu  0.2500  0.2500  0.2500  6.86
Eu  0.7500  0.7500  0.7500  6.86
Ca  0.5000  0.5000  0.5000  0.02
Er  0.0000  0.0000  0.0000  0.08

## Properties
- SG: Fm-3m (225)
- Energy: -26.62 eV per cell
- Density of states at the Fermi level: 0.863 states/eV per atom
- Relative energy among the computed polymorphs: 4.9 kJ per mole of atoms
- ΔE_f: 0.12 eV/atom



6.
Computed, not measured: a relaxed CaEu2Er crystal at the PBE-GGA level of DFT.

Cell: 4.1726 6.0244 6.0244 Å, 90.00 90.00 90.00°
Site moments in Bohr magnetons follow the coordinates.
Element x y z (fractional)
Eu  0.0000  0.0000  0.5000  6.87
Eu  0.0000  0.5000  0.0000  6.87
Ca  0.5000  0.0000  0.0000  0.03
Er  0.5000  0.5000  0.5000  0.09

## Properties
- SG: P4/mmm (123)
- Energy: -26.63 eV per cell
- Density of states at the Fermi level: 0.970 states/eV per atom
- Relative energy among the computed polymorphs: 4.7 kJ per mole of atoms
- ΔE_f: 0.12 eV/atom



What did the first record say?
Computed, not measured: a relaxed CaEr3 crystal at the PBE-GGA level of DFT.

Cell: 3.5996 5.7262 6.3253 Å, 90.00 90.00 90.00°
Site moments in Bohr magnetons follow the coordinates.
Element x y z (fractional)
Ca  0.0000  0.5000  0.3313  0.03
Er  0.0000  0.0000  0.9922  0.15
Er  0.5000  0.0000  0.5113  0.17
Er  0.5000  0.5000  0.8318  0.12

## Properties
- SG: Pmm2 (25)
- Energy: -15.27 eV per cell
- Density of states at the Fermi level: 1.747 states/eV per atom
- ΔE_f: 0.10 eV/atom